First-principles (PBE-GGA) data for a relaxed Co2SbI crystal, as listed in Alexandria.

```
data_Co2SbI
_cell_length_a 5.9134
_cell_length_b 5.9134
_cell_length_c 10.8481
_cell_angle_alpha 90.00
_cell_angle_beta 90.00
_cell_angle_gamma 90.00
_space_group_name_H-M_alt 'I -4 2 d'
_space_group_IT_number 122
_space_group_name_Hall 'I -4 2bw'
loop_
_atom_site_label
_atom_site_type_symbol
_atom_site_fract_x
_atom_site_fract_y
_atom_site_fract_z
Co1 Co 0.2467 0.2500 0.1250
Sb1 Sb 0.0000 0.0000 0.0000
I1 I 0.0000 0.0000 0.5000
```

Calculated values
Calculated density in g/cm³: 6.418
Polymorph energy (0 for the lowest one) in meV per atom: 0
Magnetic moment in μB per formula unit: 2.42